The following is a DFT calculation (PBEsol) of a relaxed KNaZnP2O7 crystal.

Cell lengths 7.4807, 7.2671, 14.6255 Å; angles 90.00, 120.73, 90.00 degrees
Fractional positions:
K (0.2037, 0.2033, 0.1038)
K (0.2037, 0.2967, 0.6038)
K (0.7963, 0.7033, 0.3962)
K (0.7963, 0.7967, 0.8962)
Na (0.2589, 0.0253, 0.8874)
Na (0.2589, 0.4747, 0.3874)
Na (0.7411, 0.5253, 0.6126)
Na (0.7411, 0.9747, 0.1126)
Zn (0.2085, 0.5206, 0.8792)
Zn (0.2085, 0.9794, 0.3792)
Zn (0.7915, 0.0206, 0.6208)
Zn (0.7915, 0.4794, 0.1208)
P (0.1759, 0.7170, 0.2015)
P (0.1759, 0.7830, 0.7015)
P (0.4287, 0.7122, 0.1009)
P (0.4287, 0.7878, 0.6009)
P (0.5713, 0.2122, 0.3991)
P (0.5713, 0.2878, 0.8991)
P (0.8241, 0.2170, 0.2985)
P (0.8241, 0.2830, 0.7985)
O (0.0365, 0.6408, 0.6216)
O (0.0365, 0.8592, 0.1216)
O (0.0890, 0.5190, 0.1798)
O (0.0890, 0.9810, 0.6798)
O (0.2535, 0.7389, 0.8189)
O (0.2535, 0.7611, 0.3189)
O (0.3027, 0.5507, 0.0289)
O (0.3027, 0.9493, 0.5289)
O (0.3343, 0.1808, 0.3449)
O (0.3343, 0.3192, 0.8449)
O (0.3701, 0.5986, 0.5516)
O (0.3701, 0.9014, 0.0516)
O (0.3938, 0.7032, 0.2019)
O (0.3938, 0.7968, 0.7019)
O (0.6062, 0.2032, 0.2981)
O (0.6062, 0.2968, 0.7981)
O (0.6299, 0.0986, 0.9484)
O (0.6299, 0.4014, 0.4484)
O (0.6657, 0.6808, 0.1551)
O (0.6657, 0.8192, 0.6551)
O (0.6973, 0.0507, 0.4711)
O (0.6973, 0.4493, 0.9711)
O (0.7465, 0.2389, 0.6811)
O (0.7465, 0.2611, 0.1811)
O (0.9110, 0.0190, 0.3202)
O (0.9110, 0.4810, 0.8202)
O (0.9635, 0.1407, 0.8784)
O (0.9635, 0.3592, 0.3784)

crystal system	monoclinic
space group	P2_1/c (14)
energy relative to the elements, uncorrected	-2.184	eV per atom
energy	-0.2408	Ha/atom
density of states at the Fermi level	0.00	states/eV/cell